Arrangement i

VASP calculation (PBE) on an optimized crystal structure of TlAgHg.

abc: 6.862 6.862 3.369
angles: 75.79 75.79 28.42
Sites, in units of the cell vectors:
1 Tl 0.657 0.657 0.343
2 Hg 0.350 0.350 0.650
3 Ag 0.993 0.993 0.007

Summary:
SG   No. 107
Crystal system   tetragonal
V   24.34 A^3/atom
M_tot   0.00 μB per atom



Arrangement ii

VASP calculation (PBE) on an optimized crystal structure of TlAgHg.

abc: 3.471 3.251 15.721
angles: 90.00 90.00 122.27
Sites, in units of the cell vectors:
1 Hg 0.325 0.651 0.000
2 Hg 0.338 0.675 0.500
3 Ag 0.690 0.379 0.356
4 Ag 0.690 0.379 0.644
5 Tl 0.312 0.624 0.802
6 Tl 0.312 0.624 0.198

Summary:
SG   No. 38
Crystal system   orthorhombic
V   25.00 A^3/atom
M_tot   0.00 μB per atom



Arrangement iii

VASP calculation (PBE) on an optimized crystal structure of TlAgHg.

abc: 7.950 6.003 5.851
angles: 59.14 47.16 89.94
Sites, in units of the cell vectors:
1 Tl 0.900 0.432 0.778
2 Tl 0.636 0.934 0.777
3 Ag 0.268 0.683 0.777
4 Ag 0.268 0.183 0.777
5 Hg 0.768 0.683 0.277
6 Hg 0.268 0.183 0.277

Summary:
SG   No. 12
Crystal system   monoclinic
V   24.42 A^3/atom
M_tot   0.00 μB per atom



Decreasing stability: arrangement iii, arrangement i, arrangement ii



Arrangement i

VASP calculation (PBE) on an optimized crystal structure of TlAg2Hg2.

abc: 8.580 8.580 3.147
angles: 90.00 90.00 90.00
Sites, in units of the cell vectors:
1 Tl 0.000 0.000 0.000
2 Tl 0.500 0.500 0.000
3 Hg 0.371 0.871 0.000
4 Hg 0.871 0.629 0.000
5 Hg 0.629 0.129 0.000
6 Hg 0.129 0.371 0.000
7 Ag 0.169 0.669 0.500
8 Ag 0.669 0.831 0.500
9 Ag 0.831 0.331 0.500
10 Ag 0.331 0.169 0.500

Summary:
SG   No. 127
Crystal system   tetragonal
V   23.17 A^3/atom
M_tot   0.00 μB per atom



Arrangement ii

VASP calculation (PBE) on an optimized crystal structure of TlAg2Hg2.

abc: 8.493 8.493 3.188
angles: 90.00 90.00 90.00
Sites, in units of the cell vectors:
1 Tl 0.000 0.000 0.000
2 Tl 0.500 0.500 0.000
3 Hg 0.175 0.675 0.500
4 Hg 0.675 0.825 0.500
5 Hg 0.825 0.325 0.500
6 Hg 0.325 0.175 0.500
7 Ag 0.379 0.879 0.000
8 Ag 0.879 0.621 0.000
9 Ag 0.621 0.121 0.000
10 Ag 0.121 0.379 0.000

Summary:
SG   No. 127
Crystal system   tetragonal
V   23.00 A^3/atom
M_tot   0.00 μB per atom



Decreasing stability: arrangement ii, arrangement i